Entry 1:
Crystalline LaNb2Hg at its relaxed geometry. Source: the Alexandria database, functional PBE-GGA.

Cell and atoms, written as POSCAR:
```
LaNb2Hg
1.0
-2.144 2.144 10.431
2.144 -2.144 10.431
2.144 2.144 -10.431
La Nb Hg
2 4 2
direct
0.000 0.000 0.000
0.750 0.250 0.500
0.138 0.625 0.013
0.375 0.388 0.513
0.612 0.125 0.987
0.875 0.862 0.487
0.250 0.750 0.500
0.500 0.500 0.000
```

Results
Symmetry: I-42d (122)
D(E_F) in states/eV/f.u.: 5.77
Uncorrected energy in eV/atom: -5.759


Entry 2:
Crystalline Li3GeRh2 at its relaxed geometry. Source: the Alexandria database, functional PBE-GGA.

Cell and atoms, written as POSCAR:
```
Li3GeRh2
1.0
2.728 -3.620 0.000
2.728 3.620 0.000
-2.292 0.000 7.976
Li Ge Rh
6 2 4
direct
0.048 0.290 0.578
0.109 0.891 0.750
0.290 0.048 0.078
0.710 0.952 0.922
0.891 0.109 0.250
0.952 0.710 0.422
0.370 0.630 0.250
0.630 0.370 0.750
0.207 0.477 0.903
0.477 0.207 0.403
0.523 0.793 0.597
0.793 0.523 0.097
```

Results
Symmetry: C2/c (15)
D(E_F) in states/eV/f.u.: 1.63
Uncorrected energy in eV/atom: -4.575


Entry 3:
Crystalline KUO4 at its relaxed geometry. Source: the Alexandria database, functional PBE-GGA.

Cell and atoms, written as POSCAR:
```
KUO4
1.0
0.000 4.376 4.376
4.376 0.000 4.376
4.376 4.376 0.000
K U O
1 1 4
direct
0.000 0.000 0.000
0.500 0.500 0.500
0.372 0.372 0.372
0.372 0.372 0.883
0.372 0.883 0.372
0.883 0.372 0.372
```

Results
Symmetry: F-43m (216)
D(E_F) in states/eV/f.u.: 4.75
Uncorrected energy in eV/atom: -7.172
Uncorrected formation energy in eV/atom: -1.802
Offset from the most stable computed form in meV per atom: 557.0


Entry 4:
Crystalline AcSbRuF at its relaxed geometry. Source: the Alexandria database, functional PBE-GGA.

Cell and atoms, written as POSCAR:
```
AcSbRuF
1.0
4.496 0.000 0.000
0.000 4.496 0.000
0.000 0.000 8.414
Ac Sb Ru F
2 2 2 2
direct
0.250 0.250 0.182
0.750 0.750 0.818
0.250 0.250 0.663
0.750 0.750 0.337
0.250 0.750 0.500
0.750 0.250 0.500
0.250 0.750 0.000
0.750 0.250 0.000
```

Results
Symmetry: P4/nmm (129)
D(E_F) in states/eV/f.u.: 2.47
Uncorrected energy in eV/atom: -6.603
Uncorrected formation energy in eV/atom: -1.758


Entry 5:
Crystalline CaMg3Si4O12 at its relaxed geometry. Source: the Alexandria database, functional PBE-GGA.

Cell and atoms, written as POSCAR:
```
CaMg3Si4O12
1.0
4.931 -4.511 0.000
4.931 4.511 0.000
-1.629 0.000 5.068
Ca Mg Si O
1 3 4 12
direct
0.000 0.000 0.000
0.451 0.549 0.500
0.609 0.391 0.000
0.800 0.200 0.500
0.085 0.501 0.001
0.319 0.102 0.507
0.499 0.915 0.999
0.898 0.681 0.493
0.025 0.675 0.257
0.067 0.636 0.765
0.088 0.189 0.424
0.322 0.434 0.112
0.325 0.975 0.743
0.364 0.933 0.235
0.498 0.272 0.605
0.566 0.678 0.888
0.672 0.088 0.102
0.728 0.502 0.395
0.811 0.912 0.576
0.912 0.328 0.898
```

Results
Symmetry: C2 (5)
D(E_F) in states/eV/f.u.: 0.00
Uncorrected energy in eV/atom: -7.256
Uncorrected formation energy in eV/atom: -2.857


Entry 6:
Crystalline TbSi3Os at its relaxed geometry. Source: the Alexandria database, functional PBE-GGA.

Cell and atoms, written as POSCAR:
```
TbSi3Os
1.0
-2.095 2.095 4.970
2.095 -2.095 4.970
2.095 2.095 -4.970
Tb Si Os
1 3 1
direct
0.000 0.000 0.000
0.266 0.766 0.500
0.423 0.423 0.000
0.766 0.266 0.500
0.657 0.657 0.000
```

Results
Symmetry: I4mm (107)
D(E_F) in states/eV/f.u.: 1.79
Uncorrected energy in eV/atom: -7.037
Uncorrected formation energy in eV/atom: -0.611
Offset from the most stable computed form in meV per atom: 0.0


Entry 7:
Crystalline Ni7Te12Pd at its relaxed geometry. Source: the Alexandria database, functional PBE-GGA.

Cell and atoms, written as POSCAR:
```
Ni7Te12Pd
1.0
6.637 3.832 3.090
-6.637 3.832 3.090
0.000 -7.664 3.090
Ni Te Pd
7 12 1
direct
0.000 0.000 0.000
0.150 0.379 0.465
0.379 0.465 0.150
0.465 0.150 0.379
0.535 0.850 0.621
0.621 0.535 0.850
0.850 0.621 0.535
0.060 0.348 0.136
0.136 0.060 0.348
0.180 0.704 0.520
0.296 0.480 0.820
0.348 0.136 0.060
0.480 0.820 0.296
0.520 0.180 0.704
0.652 0.864 0.940
0.704 0.520 0.180
0.820 0.296 0.480
0.864 0.940 0.652
0.940 0.652 0.864
0.500 0.500 0.500
```

Results
Symmetry: R-3 (148)
D(E_F) in states/eV/f.u.: 9.36
Uncorrected energy in eV/atom: -4.271
Uncorrected formation energy in eV/atom: -0.102


Entry 8:
Crystalline LaUZn17 at its relaxed geometry. Source: the Alexandria database, functional PBE-GGA.

Cell and atoms, written as POSCAR:
```
LaUZn17
1.0
4.524 2.612 4.421
-4.524 2.612 4.421
0.000 -5.224 4.421
La U Zn
1 1 17
direct
0.000 0.000 0.000
0.327 0.327 0.327
0.018 0.018 0.497
0.018 0.497 0.018
0.162 0.663 0.663
0.314 0.314 0.818
0.314 0.818 0.314
0.370 0.661 0.958
0.370 0.958 0.661
0.497 0.018 0.018
0.560 0.560 0.560
0.661 0.370 0.958
0.661 0.958 0.370
0.663 0.162 0.663
0.663 0.663 0.162
0.760 0.760 0.760
0.818 0.314 0.314
0.958 0.370 0.661
0.958 0.661 0.370
```

Results
Symmetry: R3m (160)
D(E_F) in states/eV/f.u.: 10.98
Uncorrected energy in eV/atom: -2.146